Record 1
A geometry-optimized Sm4TlAg2Au structure. Source: Alexandria via LeMat-Bulk, functional PBE-GGA.

Values from the calculation:
- Formation energy from the elements: -437 meV per atom
- Final energy: -4.22 eV per atom

Cell lengths 5.2892, 5.2892, 25.8989 Å; angles 90.00, 90.00, 120.00 degrees
Closest atoms and distances in Å follow each position.
Space group R-3m (No. 166, hexagonal axes)
One atom of each set of equivalent atoms:
Sm 0.0000 0.0000 0.1196 (multiplicity 6)  1 Au 3.10, 4 Ag 3.15-3.23, 3 Tl 3.29
Sm 0.0000 0.0000 0.3704 (multiplicity 6)  3 Au 3.20, 4 Ag 3.27-3.34, 1 Tl 3.36
Tl 0.0000 0.0000 0.5000 (multiplicity 3)  8 Sm 3.29-3.36, 6 Ag 3.66
Ag 0.0000 0.0000 0.2443 (multiplicity 6)  8 Sm 3.15-3.34
Au 0.0000 0.0000 0.0000 (multiplicity 3)  8 Sm 3.10-3.20


Record 2
A geometry-optimized MoPCCl2 structure. Source: Alexandria via LeMat-Bulk, functional PBE-GGA.

Values from the calculation:
- Distance to the lowest polymorph of the same formula: 0.00 eV/f.u.
- Final energy: -4.43 eV per atom

Cell lengths 4.7832, 4.7832, 4.7375 Å; angles 90.00, 90.00, 90.00 degrees
Closest atoms and distances in Å follow each position.
Space group P4/mmm (No. 123)
One atom of each set of equivalent atoms:
Mo 0.0000 0.0000 0.0000 (multiplicity 1)  2 P 2.37, 4 Cl 2.39
P 0.0000 0.0000 0.5000 (multiplicity 1)  2 Mo 2.37
C 0.5000 0.5000 0.5000 (multiplicity 1)  8 Cl 3.37, 4 P 3.38
Cl 0.0000 0.5000 0.0000 (multiplicity 2)  2 Mo 2.39


Record 3
A geometry-optimized SmTmMn17 structure. Source: Alexandria via LeMat-Bulk, functional PBE-GGA.

Values from the calculation:
- Formation energy from the elements: 11 meV per atom
- Final energy: -8.68 eV per atom

Cell lengths 8.6521, 8.6521, 11.6499 Å; angles 90.00, 90.00, 120.00 degrees
Closest atoms and distances in Å follow each position.
Space group R3m (No. 160, hexagonal axes)
One atom of each set of equivalent atoms:
Sm 0.0000 0.0000 0.0000 (multiplicity 3)  13 Mn 2.94-3.18
Tm 0.0000 0.0000 0.2900 (multiplicity 3)  13 Mn 2.93-3.17
Mn 0.0000 0.0000 0.5434 (multiplicity 3)  1 Mn 2.32
Mn 0.0000 0.0000 0.7426 (multiplicity 3)  1 Mn 2.32
Mn 0.0010 0.5005 0.1426 (multiplicity 9)  8 Mn 2.31-2.48
Mn 0.0134 0.5067 0.5064 (multiplicity 9)  9 Mn 2.48-2.69
Mn 0.0588 0.3916 0.3096 (multiplicity 18)  7 Mn 2.31-2.58
Mn 0.1744 0.3488 0.1147 (multiplicity 9)  9 Mn 2.46-2.69


Record 4
A geometry-optimized PmPaGa structure. Source: Alexandria via LeMat-Bulk, functional PBE-GGA.

Values from the calculation:
- Formation energy from the elements: 90 meV per atom
- Distance to the lowest polymorph of the same formula: 0.53 eV/f.u.
- Final energy: -5.67 eV per atom

Cell lengths 5.0870, 5.0870, 3.3309 Å; angles 90.00, 90.00, 120.00 degrees
Closest atoms and distances in Å follow each position.
Space group P3m1 (No. 156)
One atom of each set of equivalent atoms:
Pm 0.0000 0.0000 0.0000 (multiplicity 1)  3 Ga 3.07, 3 Pa 3.27, 2 Pm 3.33
Pa 0.3333 0.6667 0.4290 (multiplicity 1)  3 Ga 3.10, 3 Pm 3.27, 2 Pa 3.33
Ga 0.6667 0.3333 0.7285 (multiplicity 1)  3 Pm 3.07, 3 Pa 3.10, 2 Ga 3.33


Record 5
A geometry-optimized Nd2SmTlO structure. Source: Alexandria via LeMat-Bulk, functional PBE-GGA.

Values from the calculation:
- Final energy: -5.67 eV per atom

Cell lengths 4.9950, 4.9950, 4.9056 Å; angles 90.00, 90.00, 90.00 degrees
Closest atoms and distances in Å follow each position.
Space group P4/mmm (No. 123)
One atom of each set of equivalent atoms:
Nd 0.0000 0.5000 0.0000 (multiplicity 2)  2 O 2.50
Sm 0.0000 0.0000 0.5000 (multiplicity 1)  2 O 2.45
Tl 0.5000 0.5000 0.5000 (multiplicity 1)  8 Nd 3.50, 4 Sm 3.53
O 0.0000 0.0000 0.0000 (multiplicity 1)  2 Sm 2.45, 4 Nd 2.50


Record 6
A geometry-optimized ZnNiW structure. Source: Alexandria via LeMat-Bulk, functional PBE-GGA.

Values from the calculation:
- Formation energy from the elements: 45 meV per atom
- Distance to the lowest polymorph of the same formula: 0.06 eV/f.u.
- Final energy: -6.62 eV per atom

Cell lengths 9.0167, 3.2929, 5.8157 Å; angles 90.00, 108.56, 90.00 degrees
Closest atoms and distances in Å follow each position.
Space group C2/m (No. 12)
One atom of each set of equivalent atoms:
Zn 0.0018 0.0000 0.2190 (multiplicity 4)  1 Zn 2.54, 5 Ni 2.57-2.77, 5 W 2.72-2.81
Ni 0.1776 0.5000 0.0829 (multiplicity 4)  2 Ni 2.48, 2 W 2.55, 5 Zn 2.57-2.77
W 0.1703 0.5000 0.5915 (multiplicity 4)  3 Ni 2.55-2.84, 2 W 2.62, 5 Zn 2.72-2.81